# 1
The following is a PBE calculation of a relaxed AgRhBr5 crystal, from the Alexandria database.

Cell lengths 7.905, 7.905, 9.459 Å; angles 89.34, 89.34, 55.31 degrees
Positions (direct):
Br 0.859 0.141 0.250
Br 0.108 0.640 0.055
Br 0.640 0.108 0.555
Br 0.111 0.639 0.450
Br 0.141 0.859 0.750
Br 0.639 0.111 0.950
Br 0.892 0.360 0.945
Br 0.361 0.889 0.050
Br 0.889 0.361 0.550
Br 0.360 0.892 0.445
Rh 0.000 0.000 0.500
Rh 0.000 0.000 0.000
Ag 0.309 0.691 0.250
Ag 0.691 0.309 0.750

Calculated values
- SG: C2/c (15)
- Total DFT energy (no corrections): -2.892 eV per atom
- D(E_F): 7.018 states/eV per cell
- Crystal system: monoclinic

---

# 2
The following is a PBE calculation of a relaxed Ta6Nb2W crystal, from the Alexandria database.

Cell lengths 4.465, 6.343, 7.756 Å; angles 114.14, 106.69, 90.00 degrees
Positions (direct):
Ta 0.834 0.081 0.669
Ta 0.500 0.244 0.000
Ta 0.834 0.587 0.669
Ta 0.166 0.919 0.331
Ta 0.166 0.413 0.331
Ta 0.500 0.756 0.000
Nb 0.334 0.334 0.668
Nb 0.666 0.666 0.332
W 0.000 0.000 0.000

Calculated values
- SG: Immm (71)
- Total DFT energy (no corrections): -10.767 eV per atom
- Formation energy from the elements: 0.811 eV per atom
- D(E_F): 9.507 states/eV per cell
- Crystal system: orthorhombic

---

# 3
The following is a PBE calculation of a relaxed YSi crystal, from the Alexandria database.

Cell lengths 8.001, 8.001, 5.799 Å; angles 90.00, 90.00, 90.00 degrees
Positions (direct):
Si 0.922 0.797 0.000
Si 0.578 0.703 0.500
Si 0.203 0.922 0.000
Si 0.078 0.203 0.000
Si 0.297 0.578 0.500
Si 0.797 0.078 0.000
Si 0.703 0.422 0.500
Si 0.422 0.297 0.500
Y 0.061 0.301 0.500
Y 0.439 0.199 0.000
Y 0.561 0.801 0.000
Y 0.301 0.939 0.500
Y 0.801 0.439 0.000
Y 0.939 0.699 0.500
Y 0.199 0.561 0.000
Y 0.699 0.061 0.500

Calculated values
- SG: I4/m (87)
- Total DFT energy (no corrections): -6.315 eV per atom
- D(E_F): 13.498 states/eV per cell
- Crystal system: tetragonal

---

# 4
The following is a PBE calculation of a relaxed Zr2ZnFe crystal, from the Alexandria database.

Cell lengths 3.280, 3.280, 6.625 Å; angles 90.00, 90.00, 90.00 degrees
Positions (direct):
Zn 0.500 0.500 0.714
Fe 0.000 0.000 0.519
Zr 0.500 0.500 0.290
Zr 0.000 0.000 0.978

Calculated values
- SG: P4mm (99)
- Total DFT energy (no corrections): -6.751 eV per atom
- Formation energy from the elements: -0.043 eV per atom
- D(E_F): 4.826 states/eV per cell
- Crystal system: tetragonal

---

# 5
The following is a PBE calculation of a relaxed NaAgN2 crystal, from the Alexandria database.

Cell lengths 7.415, 7.415, 7.415 Å; angles 25.94, 25.94, 25.94 degrees
Positions (direct):
N 0.094 0.094 0.094
N 0.906 0.906 0.906
Na 0.500 0.500 0.500
Ag 0.000 0.000 0.000

Calculated values
- SG: R-3m (166)
- Total DFT energy (no corrections): -3.600 eV per atom
- D(E_F): 0.736 states/eV per cell
- Crystal system: trigonal

---

# 6
The following is a PBE calculation of a relaxed Hf3Nb4P4 crystal, from the Alexandria database.

Cell lengths 3.482, 7.750, 8.131 Å; angles 118.46, 102.37, 90.00 degrees
Positions (direct):
Nb 0.328 0.137 0.657
Nb 0.672 0.863 0.343
Nb 0.672 0.480 0.343
Nb 0.328 0.520 0.657
P 0.500 0.199 0.000
P 0.500 0.801 0.000
P 0.247 0.747 0.493
P 0.753 0.253 0.507
Hf 0.109 0.109 0.218
Hf 0.000 0.500 0.000
Hf 0.891 0.891 0.782

Calculated values
- SG: Immm (71)
- Total DFT energy (no corrections): -9.268 eV per atom
- Formation energy from the elements: -0.924 eV per atom
- D(E_F): 4.969 states/eV per cell
- Crystal system: orthorhombic

---

# 7
The following is a PBE calculation of a relaxed Zr2NiAg crystal, from the Alexandria database.

Cell lengths 9.197, 9.197, 9.197 Å; angles 19.57, 19.57, 19.57 degrees
Positions (direct):
Ag 0.250 0.250 0.250
Zr 0.009 0.009 0.009
Zr 0.491 0.491 0.491
Ni 0.750 0.750 0.750

Calculated values
- SG: R-3m (166)
- Total DFT energy (no corrections): -6.379 eV per atom
- Formation energy from the elements: 0.053 eV per atom
- D(E_F): 4.637 states/eV per cell
- Crystal system: trigonal

---

# 8
The following is a PBE calculation of a relaxed KCrN3 crystal, from the Alexandria database.

Cell lengths 3.841, 3.841, 3.841 Å; angles 90.00, 90.00, 90.00 degrees
Positions (direct):
N 0.500 0.000 0.000
N 0.000 0.500 0.000
N 0.000 0.000 0.500
K 0.500 0.500 0.500
Cr 0.000 0.000 0.000

Calculated values
- SG: Pm-3m (221)
- Total DFT energy (no corrections): -6.567 eV per atom
- D(E_F): 2.339 states/eV per cell
- Crystal system: cubic

---

# 9
The following is a PBE calculation of a relaxed Ti5CuRh4 crystal, from the Alexandria database.

Cell lengths 3.130, 3.130, 15.301 Å; angles 90.00, 90.00, 90.00 degrees
Positions (direct):
Ti 0.500 0.500 0.098
Ti 0.500 0.500 0.500
Ti 0.500 0.500 0.701
Ti 0.500 0.500 0.902
Ti 0.500 0.500 0.299
Rh 0.000 0.000 0.800
Rh 0.000 0.000 0.400
Rh 0.000 0.000 0.200
Rh 0.000 0.000 0.600
Cu 0.000 0.000 0.000

Calculated values
- SG: P4/mmm (123)
- Total DFT energy (no corrections): -7.908 eV per atom
- Formation energy from the elements: -0.610 eV per atom
- D(E_F): 9.709 states/eV per cell
- Crystal system: tetragonal

---

# 10
The following is a PBE calculation of a relaxed SrTe2Se2 crystal, from the Alexandria database.

Cell lengths 4.246, 4.246, 10.247 Å; angles 78.04, 78.04, 90.00 degrees
Positions (direct):
Sr 0.000 0.000 0.000
Te 0.250 0.750 0.500
Te 0.750 0.250 0.500
Se 0.438 0.438 0.125
Se 0.562 0.562 0.875

Calculated values
- SG: I4/mmm (139)
- Total DFT energy (no corrections): -3.684 eV per atom
- D(E_F): 1.711 states/eV per cell
- Crystal system: tetragonal

---

# 11
The following is a PBE calculation of a relaxed Li4IBr3 crystal, from the Alexandria database.

Cell lengths 5.658, 5.658, 5.658 Å; angles 90.00, 90.00, 90.00 degrees
Positions (direct):
Br 0.500 0.500 0.000
Br 0.000 0.500 0.500
Br 0.500 0.000 0.500
I 0.000 0.000 0.000
Li 0.000 0.000 0.500
Li 0.500 0.500 0.500
Li 0.000 0.500 0.000
Li 0.500 0.000 0.000

Calculated values
- SG: Pm-3m (221)
- Total DFT energy (no corrections): -3.195 eV per atom
- D(E_F): 0.000 states/eV per cell
- Crystal system: cubic

---

# 12
The following is a PBE calculation of a relaxed Sm2ZrNpN4 crystal, from the Alexandria database.

Cell lengths 3.444, 5.940, 6.011 Å; angles 108.83, 90.00, 90.00 degrees
Positions (direct):
N 0.000 0.256 0.778
N 0.000 0.744 0.222
N 0.500 0.241 0.219
N 0.500 0.759 0.781
Sm 0.500 0.000 0.500
Sm 0.000 0.500 0.500
Zr 0.000 0.000 0.000
Np 0.500 0.500 0.000

Calculated values
- SG: P2/m (10)
- Total DFT energy (no corrections): -9.499 eV per atom
- D(E_F): 7.406 states/eV per cell
- Crystal system: monoclinic

---

> What is the D(E_F) in the tenth record?

1.711 states/eV per cell